1.
# AlSb2TeSe | the Alexandria database | PBE | relaxed
data_AlSb2TeSe
_chemical_formula_sum 'Al1 Sb2 Te1 Se1'
_space_group_name_H-M_alt 'P 4/m m m'
_space_group_IT_number 123
_space_group_name_Hall '-P 4 2'
_cell_length_a 5.3109
_cell_length_b 5.3109
_cell_length_c 5.1630
_cell_angle_alpha 90.00
_cell_angle_beta 90.00
_cell_angle_gamma 90.00
loop_
_atom_site_label
_atom_site_fract_x
_atom_site_fract_y
_atom_site_fract_z
_atom_site_occupancy
Al1 0.0000 0.0000 0.0000 1
Sb1 0.0000 0.5000 0.0000 1
Te1 0.0000 0.0000 0.5000 1
Se1 0.5000 0.5000 0.5000 1
# - offset from the most stable computed form (kJ/mol of atoms) = 0.0
# - ΔE_f (raw) (eV/atom) = 0.5481

***

2.
# LaNi2Ru | the Alexandria database | PBE | relaxed
data_LaNi2Ru
_chemical_formula_sum 'La3 Ni6 Ru3'
_space_group_name_H-M_alt 'R 3 m'
_space_group_IT_number 160
_space_group_name_Hall 'R 3 -2"'
_cell_length_a 2.8841
_cell_length_b 2.8841
_cell_length_c 26.8872
_cell_angle_alpha 90.00
_cell_angle_beta 90.00
_cell_angle_gamma 120.00
loop_
_atom_site_label
_atom_site_fract_x
_atom_site_fract_y
_atom_site_fract_z
_atom_site_occupancy
La1 0.0000 0.0000 0.0000 1
Ni1 0.0000 0.0000 0.4946 1
Ni2 0.0000 0.0000 0.7604 1
Ru1 0.0000 0.0000 0.2317 1
# - energy of formation (eV/atom) = 0.5975

***

3.
# DyTh2Ir | the Alexandria database | PBE | relaxed
data_DyTh2Ir
_chemical_formula_sum 'Dy3 Th6 Ir3'
_space_group_name_H-M_alt 'R 3 m'
_space_group_IT_number 160
_space_group_name_Hall 'R 3 -2"'
_cell_length_a 3.9781
_cell_length_b 3.9781
_cell_length_c 27.1350
_cell_angle_alpha 90.00
_cell_angle_beta 90.00
_cell_angle_gamma 120.00
loop_
_atom_site_label
_atom_site_fract_x
_atom_site_fract_y
_atom_site_fract_z
_atom_site_occupancy
Dy1 0.0000 0.0000 0.0000 1
Th1 0.0000 0.0000 0.2285 1
Th2 0.0000 0.0000 0.4372 1
Ir1 0.0000 0.0000 0.8333 1
# - offset from the most stable computed form (kJ/mol of atoms) = 14.3
# - energy of formation (eV/atom) = -0.3562

***

4.
# Nb2MoSe2 | the Alexandria database | PBE | relaxed
data_Nb2MoSe2
_chemical_formula_sum 'Nb4 Mo2 Se4'
_space_group_name_H-M_alt 'I 4/m m m'
_space_group_IT_number 139
_space_group_name_Hall '-I 4 2'
_cell_length_a 5.0015
_cell_length_b 5.0015
_cell_length_c 7.6717
_cell_angle_alpha 90.00
_cell_angle_beta 90.00
_cell_angle_gamma 90.00
loop_
_atom_site_label
_atom_site_fract_x
_atom_site_fract_y
_atom_site_fract_z
_atom_site_occupancy
Nb1 0.0000 0.5000 0.2500 1
Mo1 0.0000 0.0000 0.0000 1
Se1 0.0000 0.0000 0.3303 1
# - offset from the most stable computed form (kJ/mol of atoms) = 30.7
# - ΔE_f (raw) (eV/atom) = 0.2661

***

5.
# ZrSbRu2 | the Alexandria database | PBE | relaxed
data_ZrSbRu2
_chemical_formula_sum 'Zr1 Sb1 Ru2'
_space_group_name_H-M_alt 'P m m 2'
_space_group_IT_number 25
_space_group_name_Hall 'P 2 -2'
_cell_length_a 3.2296
_cell_length_b 4.0359
_cell_length_c 5.4890
_cell_angle_alpha 90.00
_cell_angle_beta 90.00
_cell_angle_gamma 90.00
loop_
_atom_site_label
_atom_site_fract_x
_atom_site_fract_y
_atom_site_fract_z
_atom_site_occupancy
Zr1 0.0000 0.0000 0.0000 1
Sb1 0.5000 0.5000 0.6719 1
Ru1 0.0000 0.0000 0.5031 1
Ru2 0.5000 0.5000 0.1766 1
# - ΔE_f (raw) (eV/atom) = -0.1988

***

6.
# HfRePt2 | the Alexandria database | PBE | relaxed
data_HfRePt2
_chemical_formula_sum 'Hf4 Re4 Pt8'
_space_group_name_H-M_alt 'F m -3 m'
_space_group_IT_number 225
_space_group_name_Hall '-F 4 2 3'
_cell_length_a 6.4750
_cell_length_b 6.4750
_cell_length_c 6.4750
_cell_angle_alpha 90.00
_cell_angle_beta 90.00
_cell_angle_gamma 90.00
loop_
_atom_site_label
_atom_site_fract_x
_atom_site_fract_y
_atom_site_fract_z
_atom_site_occupancy
Hf1 0.0000 0.0000 0.0000 1
Re1 0.0000 0.0000 0.5000 1
Pt1 0.2500 0.2500 0.2500 1
# - offset from the most stable computed form (kJ/mol of atoms) = 0.0
# - energy of formation (eV/atom) = -0.2058

***

7.
# U2PaOs | the Alexandria database | PBE | relaxed
data_U2PaOs
_chemical_formula_sum 'U8 Pa4 Os4'
_space_group_name_H-M_alt 'F m -3 m'
_space_group_IT_number 225
_space_group_name_Hall '-F 4 2 3'
_cell_length_a 6.8628
_cell_length_b 6.8628
_cell_length_c 6.8628
_cell_angle_alpha 90.00
_cell_angle_beta 90.00
_cell_angle_gamma 90.00
loop_
_atom_site_label
_atom_site_fract_x
_atom_site_fract_y
_atom_site_fract_z
_atom_site_occupancy
U1 0.2500 0.2500 0.2500 1
Pa1 0.0000 0.0000 0.0000 1
Os1 0.0000 0.0000 0.5000 1
# - offset from the most stable computed form (kJ/mol of atoms) = 6.6
# - energy of formation (eV/atom) = 0.1241

***

8.
# CsSi2AgPt | the Alexandria database | PBE | relaxed
data_CsSi2AgPt
_chemical_formula_sum 'Cs1 Si2 Ag1 Pt1'
_space_group_name_H-M_alt 'P 4/m m m'
_space_group_IT_number 123
_space_group_name_Hall '-P 4 2'
_cell_length_a 4.6798
_cell_length_b 4.6798
_cell_length_c 6.9517
_cell_angle_alpha 90.00
_cell_angle_beta 90.00
_cell_angle_gamma 90.00
loop_
_atom_site_label
_atom_site_fract_x
_atom_site_fract_y
_atom_site_fract_z
_atom_site_occupancy
Cs1 0.0000 0.0000 0.0000 1
Si1 0.0000 0.5000 0.5000 1
Ag1 0.5000 0.5000 0.0000 1
Pt1 0.0000 0.0000 0.5000 1
# - ΔE_f (raw) (eV/atom) = 0.4066

***

9.
# BaHoIn2 | the Alexandria database | PBE | relaxed
data_BaHoIn2
_chemical_formula_sum 'Ba3 Ho3 In6'
_space_group_name_H-M_alt 'R -3 m'
_space_group_IT_number 166
_space_group_name_Hall '-R 3 2"'
_cell_length_a 3.8653
_cell_length_b 3.8653
_cell_length_c 31.2031
_cell_angle_alpha 90.00
_cell_angle_beta 90.00
_cell_angle_gamma 120.00
loop_
_atom_site_label
_atom_site_fract_x
_atom_site_fract_y
_atom_site_fract_z
_atom_site_occupancy
Ba1 0.0000 0.0000 0.0000 1
Ho1 0.0000 0.0000 0.5000 1
In1 0.0000 0.0000 0.2423 1
# - energy of formation (eV/atom) = -0.1880

***

10.
# LiPm3S2Cl6 | the Alexandria database | PBE | relaxed
data_LiPm3S2Cl6
_chemical_formula_sum 'Li2 Pm6 S4 Cl12'
_space_group_name_H-M_alt 'C 1 2/m 1'
_space_group_IT_number 12
_space_group_name_Hall '-C 2y'
_cell_length_a 13.5504
_cell_length_b 8.1735
_cell_length_c 6.1260
_cell_angle_alpha 90.00
_cell_angle_beta 91.52
_cell_angle_gamma 90.00
loop_
_atom_site_label
_atom_site_fract_x
_atom_site_fract_y
_atom_site_fract_z
_atom_site_occupancy
Li1 0.0000 0.0000 0.0000 1
Pm1 0.0000 0.5000 0.5000 1
Pm2 0.2500 0.2500 0.0000 1
S1 0.1698 0.5000 0.7555 1
Cl1 0.0809 0.2471 0.2505 1
Cl2 0.1524 0.0000 0.7755 1
# - ΔE_f (raw) (eV/atom) = -2.0623

***

11.
# MnTeRuN2 | the Alexandria database | PBE | relaxed
data_MnTeRuN2
_chemical_formula_sum 'Mn1 Te1 Ru1 N2'
_space_group_name_H-M_alt 'P 4/m m m'
_space_group_IT_number 123
_space_group_name_Hall '-P 4 2'
_cell_length_a 3.6549
_cell_length_b 3.6549
_cell_length_c 5.5364
_cell_angle_alpha 90.00
_cell_angle_beta 90.00
_cell_angle_gamma 90.00
loop_
_atom_site_label
_atom_site_fract_x
_atom_site_fract_y
_atom_site_fract_z
_atom_site_occupancy
Mn1 0.0000 0.0000 0.0000 1
Te1 0.0000 0.0000 0.5000 1
Ru1 0.5000 0.5000 0.5000 1
N1 0.0000 0.5000 0.0000 1
# - offset from the most stable computed form (kJ/mol of atoms) = 19.4
# - ΔE_f (raw) (eV/atom) = 0.9994

***

12.
# Ca2AlCu | the Alexandria database | PBE | relaxed
data_Ca2AlCu
_chemical_formula_sum 'Ca4 Al2 Cu2'
_space_group_name_H-M_alt 'I m m 2'
_space_group_IT_number 44
_space_group_name_Hall 'I 2 -2'
_cell_length_a 3.4914
_cell_length_b 5.1982
_cell_length_c 10.6659
_cell_angle_alpha 90.00
_cell_angle_beta 90.00
_cell_angle_gamma 90.00
loop_
_atom_site_label
_atom_site_fract_x
_atom_site_fract_y
_atom_site_fract_z
_atom_site_occupancy
Ca1 0.0000 0.0000 0.0000 1
Ca2 0.0000 0.5000 0.1984 1
Al1 0.0000 0.0000 0.4165 1
Cu1 0.0000 0.5000 0.7495 1
# - energy of formation (eV/atom) = -0.1211

***

13.
# TaSi3P | the Alexandria database | PBE | relaxed
data_TaSi3P
_chemical_formula_sum 'Ta1 Si3 P1'
_space_group_name_H-M_alt 'P m -3 m'
_space_group_IT_number 221
_space_group_name_Hall '-P 4 2 3'
_cell_length_a 4.4313
_cell_length_b 4.4313
_cell_length_c 4.4313
_cell_angle_alpha 90.00
_cell_angle_beta 90.00
_cell_angle_gamma 90.00
loop_
_atom_site_label
_atom_site_fract_x
_atom_site_fract_y
_atom_site_fract_z
_atom_site_occupancy
Ta1 0.0000 0.0000 0.0000 1
Si1 0.0000 0.5000 0.5000 1
P1 0.5000 0.5000 0.5000 1
# - offset from the most stable computed form (kJ/mol of atoms) = 0.0
# - ΔE_f (raw) (eV/atom) = 1.0227

***

14.
# LaSiTc2O | the Alexandria database | PBE | relaxed
data_LaSiTc2O
_chemical_formula_sum 'La1 Si1 Tc2 O1'
_space_group_name_H-M_alt 'P 4/m m m'
_space_group_IT_number 123
_space_group_name_Hall '-P 4 2'
_cell_length_a 4.8917
_cell_length_b 4.8917
_cell_length_c 3.6437
_cell_angle_alpha 90.00
_cell_angle_beta 90.00
_cell_angle_gamma 90.00
loop_
_atom_site_label
_atom_site_fract_x
_atom_site_fract_y
_atom_site_fract_z
_atom_site_occupancy
La1 0.0000 0.0000 0.0000 1
Si1 0.5000 0.5000 0.5000 1
Tc1 0.0000 0.5000 0.5000 1
O1 0.5000 0.5000 0.0000 1
# - ΔE_f (raw) (eV/atom) = 0.2053

***

Summary of calculated volume in Å³ per atom
29.1, 16.1, 31.0, 19.2, 17.9, 17.0, 20.2, 30.4, 33.6, 28.3, 14.8, 24.2, 17.4, 17.4
(order as listed above)